--- 1 ---
The following is a PBE-GGA calculation of U2MnFe after structural relaxation, from Alexandria.

```
data_U2MnFe
_chemical_formula_sum 'U2 Mn1 Fe1'
_cell_length_a 3.313
_cell_length_b 3.313
_cell_length_c 6.058
_cell_angle_alpha 90.00
_cell_angle_beta 90.00
_cell_angle_gamma 90.00
_space_group_name_H-M_alt 'P 1'
_space_group_IT_number 1
loop_
_space_group_symop_operation_xyz
'x,y,z'
loop_
_atom_site_label
_atom_site_fract_x
_atom_site_fract_y
_atom_site_fract_z
_atom_site_occupancy
U1 0.000 0.000 0.224 1
Mn1 0.500 0.500 0.500 1
U2 0.000 0.000 0.776 1
Fe1 0.500 0.500 0.000 1
```

Calculated values
Total moment in μB/f.u.: 0.012
Calculated density in g cm⁻³: 14.7
Crystal system: tetragonal
D(E_F) in states/eV per cell: 8.816
Space-group type: P4/mmm (123)

--- 2 ---
The following is a PBE-GGA calculation of U2MnFe after structural relaxation, from Alexandria.

```
data_U2MnFe
_chemical_formula_sum 'U2 Mn1 Fe1'
_cell_length_a 2.841
_cell_length_b 3.753
_cell_length_c 6.697
_cell_angle_alpha 90.31
_cell_angle_beta 90.00
_cell_angle_gamma 112.24
_space_group_name_H-M_alt 'P 1'
_space_group_IT_number 1
loop_
_space_group_symop_operation_xyz
'x,y,z'
loop_
_atom_site_label
_atom_site_fract_x
_atom_site_fract_y
_atom_site_fract_z
_atom_site_occupancy
Fe1 0.000 0.000 0.500 1
Mn1 0.000 0.000 0.000 1
U1 0.246 0.491 0.248 1
U2 0.754 0.509 0.752 1
```

Calculated values
Total moment in μB/f.u.: 0.000
Calculated density in g cm⁻³: 14.7
Crystal system: monoclinic
D(E_F) in states/eV per cell: 6.192
Space-group type: C2/m (12)

--- 3 ---
The following is a PBE-GGA calculation of U2MnFe after structural relaxation, from Alexandria.

```
data_U2MnFe
_chemical_formula_sum 'U2 Mn1 Fe1'
_cell_length_a 2.887
_cell_length_b 2.887
_cell_length_c 9.145
_cell_angle_alpha 80.92
_cell_angle_beta 80.92
_cell_angle_gamma 60.00
_space_group_name_H-M_alt 'P 1'
_space_group_IT_number 1
loop_
_space_group_symop_operation_xyz
'x,y,z'
loop_
_atom_site_label
_atom_site_fract_x
_atom_site_fract_y
_atom_site_fract_z
_atom_site_occupancy
Fe1 0.500 0.500 0.500 1
Mn1 0.000 0.000 0.000 1
U1 0.915 0.915 0.256 1
U2 0.085 0.085 0.744 1
```

Calculated values
Total moment in μB/f.u.: 0.386
Calculated density in g cm⁻³: 15.0
Crystal system: trigonal
D(E_F) in states/eV per cell: 5.422
Space-group type: R-3m (166)

Most stable structure among those shown: 2. Next: +0.024 eV/atom.